! PBE NpAl2Ag, relaxed; values from VASP
! D(E_F)	8.61	states/eV per cell
! energy above the most stable polymorph in this dataset	181	meV/atom
! density	8.13	g cm⁻³
! formation energy	0.174	eV per atom
! total energy	-22.6	eV per formula unit
! space group	P4/mmm
&SYSTEM
  ibrav = 0, nat = 4, ntyp = 3
/
ATOMIC_SPECIES
Np 237.00 Np.upf
Al 26.98 Al.upf
Ag 107.87 Ag.upf
ATOMIC_POSITIONS angstrom
Np 0.000 0.000 0.000
Al 0.000 2.177 2.148
Al 2.177 0.000 2.148
Ag 2.177 2.177 0.000
CELL_PARAMETERS angstrom
4.354 0.000 0.000
0.000 4.354 0.000
0.000 0.000 4.295